1.
Ta2AlAs after structural relaxation, computed with PBE.

Computed properties:
**Calculated volume**: 18.14 A^3/atom
**D(E_F)**: 1.939 states/eV/f.u.
**Excess energy over the best structure of this formula in the dataset**: 183 meV/atom
**ρ**: 10.615 Mg/m³
**Raw total energy**: -8.06 eV/atom
**Formation energy**: -0.033 eV/atom

a = 3.5488 Å, b = 4.6232 Å, c = 8.8445 Å
α = 90.00°, β = 90.00°, γ = 90.00°
Space group Cmm2 (No. 35)
One atom of each set of equivalent atoms:
1 Ta 0.0000 0.0000 0.0000 (multiplicity 2)
2 Ta 0.0000 0.5000 0.2540 (multiplicity 2)
3 Al 0.0000 0.5000 0.7677 (multiplicity 2)
4 As 0.0000 0.0000 0.4789 (multiplicity 2)

2.
MnCuAs4 after structural relaxation, computed with PBE.

Computed properties:
**Calculated volume**: 19.31 A^3/atom
**D(E_F)**: 2.146 states/eV/f.u.
**ρ**: 5.993 Mg/m³
**Raw total energy**: -4.71 eV/atom
**Formation energy**: 0.597 eV/atom

a = 7.7389 Å, b = 7.7389 Å, c = 7.7389 Å
α = 90.00°, β = 90.00°, γ = 90.00°
Space group F-43m (No. 216)
One atom of each set of equivalent atoms:
1 Mn 0.0000 0.0000 0.0000 (multiplicity 4)
2 Cu 0.2500 0.2500 0.7500 (multiplicity 4)
3 As 0.1245 0.1245 0.3755 (multiplicity 16)

3.
Pr3Dy4Tm4 after structural relaxation, computed with PBE.

Computed properties:
**Calculated volume**: 32.13 A^3/atom
**D(E_F)**: 13.955 states/eV/f.u.
**Excess energy over the best structure of this formula in the dataset**: 0 meV/atom
**ρ**: 8.215 Mg/m³
**Raw total energy**: -4.58 eV/atom
**Formation energy**: 0.024 eV/atom

a = 39.6200 Å, b = 3.5773 Å, c = 5.0280 Å
α = 90.00°, β = 97.28°, γ = 90.00°
Space group C2/m (No. 12)
One atom of each set of equivalent atoms:
1 Pr 0.0000 0.0000 0.0000 (multiplicity 2)
2 Pr 0.1373 0.5000 0.6368 (multiplicity 4)
3 Dy 0.0463 0.5000 0.5460 (multiplicity 4)
4 Dy 0.1836 0.0000 0.1832 (multiplicity 4)
5 Tm 0.0910 0.0000 0.0906 (multiplicity 4)
6 Tm 0.2280 0.5000 0.7278 (multiplicity 4)

4.
AgAsSN2 after structural relaxation, computed with PBE.

Computed properties:
**Calculated volume**: 17.50 A^3/atom
**D(E_F)**: 2.393 states/eV/f.u.
**Excess energy over the best structure of this formula in the dataset**: 705 meV/atom
**ρ**: 4.609 Mg/m³
**Raw total energy**: -3.73 eV/atom
**Formation energy (no corrections)**: 1930 meV per atom

a = 4.0692 Å, b = 4.0692 Å, c = 5.2847 Å
α = 90.00°, β = 90.00°, γ = 90.00°
Space group P4/mmm (No. 123)
One atom of each set of equivalent atoms:
1 Ag 0.0000 0.0000 0.0000 (multiplicity 1)
2 As 0.5000 0.5000 0.5000 (multiplicity 1)
3 S 0.0000 0.0000 0.5000 (multiplicity 1)
4 N 0.0000 0.5000 0.0000 (multiplicity 2)

5.
PrCd2Hg7 after structural relaxation, computed with PBE.

Computed properties:
**Calculated volume**: 29.69 A^3/atom
**D(E_F)**: 4.567 states/eV/f.u.
**ρ**: 9.897 Mg/m³
**Raw total energy**: -0.92 eV/atom
**Formation energy**: -0.051 eV/atom

a = 9.6660 Å, b = 17.6246 Å, c = 3.4860 Å
α = 90.00°, β = 90.00°, γ = 90.00°
Space group Cmmm (No. 65)
One atom of each set of equivalent atoms:
1 Pr 0.0000 0.0000 0.0000 (multiplicity 2)
2 Cd 0.0000 0.3289 0.5000 (multiplicity 4)
3 Hg 0.0000 0.1924 0.0000 (multiplicity 4)
4 Hg 0.0000 0.5000 0.5000 (multiplicity 2)
5 Hg 0.2271 0.0980 0.5000 (multiplicity 8)

6.
NdZn5Ir2 after structural relaxation, computed with PBE.

Computed properties:
**Calculated volume**: 18.19 A^3/atom
**D(E_F)**: 2.498 states/eV/f.u.
**ρ**: 9.763 Mg/m³
**Raw total energy**: -3.92 eV/atom
**Formation energy**: -0.312 eV/atom

a = 4.0524 Å, b = 7.5697 Å, c = 9.4898 Å
α = 90.00°, β = 90.00°, γ = 90.00°
Space group Immm (No. 71)
One atom of each set of equivalent atoms:
1 Nd 0.0000 0.0000 0.0000 (multiplicity 2)
2 Zn 0.0000 0.1814 0.3412 (multiplicity 8)
3 Zn 0.0000 0.5000 0.0000 (multiplicity 2)
4 Ir 0.0000 0.5000 0.2610 (multiplicity 4)

Please write out number 5 again, unchanged.
PrCd2Hg7 after structural relaxation, computed with PBE.

Computed properties:
**Calculated volume**: 29.69 A^3/atom
**D(E_F)**: 4.567 states/eV/f.u.
**ρ**: 9.897 Mg/m³
**Raw total energy**: -0.92 eV/atom
**Formation energy**: -0.051 eV/atom

a = 9.6660 Å, b = 17.6246 Å, c = 3.4860 Å
α = 90.00°, β = 90.00°, γ = 90.00°
Space group Cmmm (No. 65)
One atom of each set of equivalent atoms:
1 Pr 0.0000 0.0000 0.0000 (multiplicity 2)
2 Cd 0.0000 0.3289 0.5000 (multiplicity 4)
3 Hg 0.0000 0.1924 0.0000 (multiplicity 4)
4 Hg 0.0000 0.5000 0.5000 (multiplicity 2)
5 Hg 0.2271 0.0980 0.5000 (multiplicity 8)